{
  "formula": "MgSc3C",
  "functional": "PBE",
  "state": "relaxed",
  "lattice_angstrom": [[5.4325, -6.5404, 0.0000], [5.4325, 6.5404, 0.0000], [-0.2005, 0.0000, 5.7378]],
  "species": ["Mg", "Mg", "Mg", "Mg", "Sc", "Sc", "Sc", "Sc", "Sc", "Sc", "Sc", "Sc", "Sc", "Sc", "Sc", "Sc", "C", "C", "C", "C"],
  "frac_coords": [[0.0595, 0.1875, 0.4083], [0.1875, 0.0595, 0.9083], [0.8125, 0.9405, 0.0917], [0.9405, 0.8125, 0.5917], [0.0693, 0.6941, 0.0851], [0.1969, 0.5687, 0.5722], [0.3059, 0.9307, 0.4149], [0.3218, 0.4508, 0.0748], [0.4313, 0.8031, 0.9278], [0.4508, 0.3218, 0.5748], [0.5492, 0.6782, 0.4252], [0.5687, 0.1969, 0.0722], [0.6782, 0.5492, 0.9252], [0.6941, 0.0693, 0.5851], [0.8031, 0.4313, 0.4278], [0.9307, 0.3059, 0.9149], [0.3049, 0.6951, 0.2500], [0.4364, 0.5636, 0.7500], [0.5636, 0.4364, 0.2500], [0.6951, 0.3049, 0.7500]],
  "formation_energy_ev_per_atom": -0.24,
  "crystal_system": "monoclinic",
  "dos_ef_per_ev_cell": 26.81,
  "volume_a3_per_atom": 20.39,
  "relative_energy_ev_per_atom": 0.079,
  "sg": "No. 15"
}

{
  "formula": "MgSc3C",
  "functional": "PBE",
  "state": "relaxed",
  "lattice_angstrom": [[5.3088, -2.3207, 0.0000], [5.3088, 2.3207, 0.0000], [-3.8013, 0.0000, 8.1442]],
  "species": ["Mg", "Mg", "Sc", "Sc", "Sc", "Sc", "Sc", "Sc", "C", "C"],
  "frac_coords": [[0.1269, 0.1269, 0.4428], [0.8731, 0.8731, 0.5572], [0.1366, 0.1366, 0.9361], [0.3703, 0.3703, 0.3104], [0.3919, 0.3919, 0.8196], [0.6081, 0.6081, 0.1804], [0.6297, 0.6297, 0.6896], [0.8634, 0.8634, 0.0639], [0.3776, 0.3776, 0.0714], [0.6224, 0.6224, 0.9286]],
  "formation_energy_ev_per_atom": -0.27,
  "crystal_system": "monoclinic",
  "dos_ef_per_ev_cell": 11.29,
  "volume_a3_per_atom": 20.07,
  "relative_energy_ev_per_atom": 0.044,
  "sg": "No. 12"
}

{
  "formula": "Mg2ScC2",
  "functional": "PBE",
  "state": "relaxed",
  "lattice_angstrom": [[-1.8160, 1.8160, 5.0710], [1.8160, -1.8160, 5.0710], [1.8160, 1.8160, -5.0710]],
  "species": ["Mg", "Mg", "Sc", "C", "C"],
  "frac_coords": [[0.2500, 0.7500, 0.5000], [0.7500, 0.2500, 0.5000], [0.0000, 0.0000, 0.0000], [0.4315, 0.4315, 0.0000], [0.5685, 0.5685, 0.0000]],
  "formation_energy_ev_per_atom": 0.35,
  "crystal_system": "tetragonal",
  "dos_ef_per_ev_cell": 2.28,
  "volume_a3_per_atom": 13.38,
  "relative_energy_ev_per_atom": 0.000,
  "sg": "No. 139"
}

{
  "formula": "MgScC2",
  "functional": "PBE",
  "state": "relaxed",
  "lattice_angstrom": [[-2.9620, 2.9620, 2.9805], [2.9620, -2.9620, 2.9805], [2.9620, 2.9620, -2.9805]],
  "species": ["Mg", "Mg", "Sc", "Sc", "C", "C", "C", "C"],
  "frac_coords": [[0.0000, 0.0000, 0.0000], [0.7500, 0.2500, 0.5000], [0.2500, 0.7500, 0.5000], [0.5000, 0.5000, 0.0000], [0.1200, 0.6250, 0.9950], [0.3750, 0.3700, 0.4950], [0.6300, 0.1250, 0.0050], [0.8750, 0.8800, 0.5050]],
  "formation_energy_ev_per_atom": 0.84,
  "crystal_system": "tetragonal",
  "dos_ef_per_ev_cell": 5.71,
  "volume_a3_per_atom": 13.07,
  "sg": "No. 122"
}

{
  "formula": "MgSc3C",
  "functional": "PBE",
  "state": "relaxed",
  "lattice_angstrom": [[4.6154, 0.0000, 0.0000], [0.0000, 4.6154, 0.0000], [0.0000, 0.0000, 4.6154]],
  "species": ["Mg", "Sc", "Sc", "Sc", "C"],
  "frac_coords": [[0.0000, 0.0000, 0.0000], [0.0000, 0.5000, 0.5000], [0.5000, 0.0000, 0.5000], [0.5000, 0.5000, 0.0000], [0.5000, 0.5000, 0.5000]],
  "formation_energy_ev_per_atom": -0.32,
  "crystal_system": "cubic",
  "dos_ef_per_ev_cell": 2.61,
  "volume_a3_per_atom": 19.66,
  "relative_energy_ev_per_atom": 0.000,
  "sg": "No. 221"
}

{
  "formula": "MgSc3C",
  "functional": "PBE",
  "state": "relaxed",
  "lattice_angstrom": [[5.6693, -3.2734, 0.0000], [5.6693, 3.2734, 0.0000], [-0.0129, 0.0000, 5.6076]],
  "species": ["Mg", "Mg", "Sc", "Sc", "Sc", "Sc", "Sc", "Sc", "C", "C"],
  "frac_coords": [[0.1665, 0.1665, 0.2499], [0.8335, 0.8335, 0.7501], [0.1907, 0.6547, 0.2495], [0.3454, 0.3454, 0.7492], [0.3453, 0.8093, 0.7505], [0.6547, 0.1907, 0.2495], [0.6546, 0.6546, 0.2508], [0.8093, 0.3453, 0.7505], [0.5000, 0.5000, 0.0000], [0.5000, 0.5000, 0.5000]],
  "formation_energy_ev_per_atom": -0.26,
  "crystal_system": "monoclinic",
  "dos_ef_per_ev_cell": 15.33,
  "volume_a3_per_atom": 20.81,
  "relative_energy_ev_per_atom": 0.062,
  "sg": "No. 12"
}

{
  "formula": "MgSc3C",
  "functional": "PBE",
  "state": "relaxed",
  "lattice_angstrom": [[5.7013, 0.0000, 0.0000], [1.1572, 5.6636, 0.0000], [0.2100, 2.0881, 6.2578]],
  "species": ["Mg", "Mg", "Sc", "Sc", "Sc", "Sc", "Sc", "Sc", "C", "C"],
  "frac_coords": [[0.0000, 0.0000, 0.0000], [0.2605, 0.5167, 0.8640], [0.0096, 0.9962, 0.5058], [0.2838, 0.5307, 0.3664], [0.4988, 0.9959, 0.7349], [0.5049, 0.0254, 0.2554], [0.7478, 0.4879, 0.6179], [0.7838, 0.4841, 0.1399], [0.3888, 0.7660, 0.5518], [0.6368, 0.2568, 0.4346]],
  "formation_energy_ev_per_atom": -0.24,
  "crystal_system": "triclinic",
  "dos_ef_per_ev_cell": 8.78,
  "volume_a3_per_atom": 20.21,
  "relative_energy_ev_per_atom": 0.075,
  "sg": "No. 1"
}

{
  "formula": "MgSc3C",
  "functional": "PBE",
  "state": "relaxed",
  "lattice_angstrom": [[6.4949, 0.0000, 0.0000], [0.0000, 5.7742, 0.0000], [-0.0142, 0.0000, 5.6027]],
  "species": ["Mg", "Mg", "Sc", "Sc", "Sc", "Sc", "Sc", "Sc", "C", "C"],
  "frac_coords": [[0.0000, 0.1574, 0.2500], [0.0000, 0.8426, 0.7500], [0.2672, 0.3465, 0.7493], [0.2672, 0.6535, 0.2493], [0.5000, 0.1980, 0.2500], [0.5000, 0.8020, 0.7500], [0.7328, 0.3465, 0.7507], [0.7328, 0.6535, 0.2507], [0.5000, 0.5000, 0.0000], [0.5000, 0.5000, 0.5000]],
  "formation_energy_ev_per_atom": -0.24,
  "crystal_system": "monoclinic",
  "dos_ef_per_ev_cell": 12.27,
  "volume_a3_per_atom": 21.01,
  "relative_energy_ev_per_atom": 0.081,
  "sg": "No. 13"
}

{
  "formula": "Mg2ScC",
  "functional": "PBE",
  "state": "relaxed",
  "lattice_angstrom": [[-4.0027, 4.0027, 2.2890], [4.0027, -4.0027, 2.2890], [4.0027, 4.0027, -2.2890]],
  "species": ["Mg", "Mg", "Mg", "Mg", "Sc", "Sc", "C", "C"],
  "frac_coords": [[0.0048, 0.1250, 0.3798], [0.3750, 0.9952, 0.1202], [0.7452, 0.6250, 0.6202], [0.8750, 0.2548, 0.8798], [0.2500, 0.7500, 0.5000], [0.5000, 0.5000, 0.0000], [0.0000, 0.0000, 0.0000], [0.7500, 0.2500, 0.5000]],
  "formation_energy_ev_per_atom": 0.29,
  "crystal_system": "tetragonal",
  "dos_ef_per_ev_cell": 5.41,
  "volume_a3_per_atom": 18.34,
  "sg": "No. 122"
}

{
  "formula": "MgSc3C",
  "functional": "PBE",
  "state": "relaxed",
  "lattice_angstrom": [[4.0570, 0.0000, 0.0000], [-2.0285, 3.5135, 0.0000], [0.0000, 0.0000, 15.6883]],
  "species": ["Mg", "Mg", "Sc", "Sc", "Sc", "Sc", "Sc", "Sc", "C", "C"],
  "frac_coords": [[0.3333, 0.6667, 0.2500], [0.6667, 0.3333, 0.7500], [0.0000, 0.0000, 0.2500], [0.0000, 0.0000, 0.7500], [0.3333, 0.6667, 0.0629], [0.3333, 0.6667, 0.4371], [0.6667, 0.3333, 0.5629], [0.6667, 0.3333, 0.9371], [0.0000, 0.0000, 0.0000], [0.0000, 0.0000, 0.5000]],
  "formation_energy_ev_per_atom": 0.91,
  "crystal_system": "hexagonal",
  "dos_ef_per_ev_cell": 8.70,
  "volume_a3_per_atom": 22.36,
  "relative_energy_ev_per_atom": 1.228,
  "sg": "No. 194"
}

{
  "formula": "Tb2MgScC",
  "functional": "PBE",
  "state": "relaxed",
  "lattice_angstrom": [[5.0678, 0.0000, 0.0000], [0.0000, 5.0678, 0.0000], [0.0000, 0.0000, 4.5181]],
  "species": ["Tb", "Tb", "Mg", "Sc", "C"],
  "frac_coords": [[0.0000, 0.5000, 0.0000], [0.5000, 0.0000, 0.0000], [0.0000, 0.0000, 0.5000], [0.5000, 0.5000, 0.5000], [0.5000, 0.5000, 0.0000]],
  "formation_energy_ev_per_atom": -0.22,
  "crystal_system": "tetragonal",
  "dos_ef_per_ev_cell": 5.44,
  "volume_a3_per_atom": 23.21,
  "sg": "No. 123"
}

{
  "formula": "MgSc2TcC",
  "functional": "PBE",
  "state": "relaxed",
  "lattice_angstrom": [[4.6079, 0.0000, 0.0000], [0.0000, 4.6079, 0.0000], [0.0000, 0.0000, 4.0254]],
  "species": ["Mg", "Sc", "Sc", "Tc", "C"],
  "frac_coords": [[0.0000, 0.0000, 0.0000], [0.0000, 0.5000, 0.5000], [0.5000, 0.0000, 0.5000], [0.5000, 0.5000, 0.0000], [0.5000, 0.5000, 0.5000]],
  "formation_energy_ev_per_atom": -0.32,
  "crystal_system": "tetragonal",
  "dos_ef_per_ev_cell": 2.64,
  "volume_a3_per_atom": 17.09,
  "sg": "No. 123"
}